(1)
Material: Ho2Co2Ge
Method: DFT, PBE-GGA
State: relaxed

abc: 5.331 5.331 7.448
angles: 101.59 101.59 60.16
Atoms (fractional coordinates):
Ho 0.003 0.292 0.147
Ho 0.292 0.003 0.647
Ho 0.708 0.997 0.353
Ho 0.997 0.708 0.853
Co 0.221 0.502 0.498
Co 0.498 0.779 0.002
Co 0.502 0.221 0.998
Co 0.779 0.498 0.502
Ge 0.367 0.633 0.250
Ge 0.633 0.367 0.750

## Properties
Final energy = -6.091 eV per atom
SG = No. 15
D(E_F) = 0.934 states/eV per atom
Calculated formation energy = -494 meV/atom

---

(2)
Material: Ho2CoGe3
Method: DFT, PBE-GGA
State: relaxed

abc: 10.373 4.200 6.891
angles: 90.00 130.44 90.00
Atoms (fractional coordinates):
Ho 0.000 0.000 0.000
Ho 0.115 0.000 0.593
Ho 0.500 0.500 0.000
Ho 0.615 0.500 0.593
Co 0.236 0.500 0.045
Co 0.736 0.000 0.045
Ge 0.240 0.500 0.402
Ge 0.364 0.000 0.168
Ge 0.452 0.000 0.670
Ge 0.740 0.000 0.402
Ge 0.864 0.500 0.168
Ge 0.952 0.500 0.670

## Properties
Final energy = -5.652 eV per atom
SG = No. 8
D(E_F) = 0.558 states/eV per atom
Calculated formation energy = -633 meV/atom
Polymorph energy (0 for the lowest one) = 0 meV per atom

---

(3)
Material: Ho3CoGe3
Method: DFT, PBE-GGA
State: relaxed

abc: 5.699 5.699 13.721
angles: 109.10 109.10 43.24
Atoms (fractional coordinates):
Ho 0.028 0.028 0.382
Ho 0.097 0.097 0.919
Ho 0.244 0.244 0.230
Ho 0.756 0.756 0.770
Ho 0.903 0.903 0.081
Ho 0.972 0.972 0.618
Co 0.255 0.255 0.586
Co 0.745 0.745 0.414
Ge 0.358 0.358 0.453
Ge 0.373 0.373 0.924
Ge 0.454 0.454 0.757
Ge 0.546 0.546 0.243
Ge 0.627 0.627 0.076
Ge 0.642 0.642 0.547

## Properties
Final energy = -5.746 eV per atom
SG = No. 12
D(E_F) = 0.621 states/eV per atom
Calculated formation energy = -790 meV/atom

---

(4)
Material: HoCo2Ge4
Method: DFT, PBE-GGA
State: relaxed

abc: 16.865 4.036 6.477
angles: 90.00 90.00 90.00
Atoms (fractional coordinates):
Ho 0.141 0.250 0.011
Ho 0.359 0.750 0.511
Ho 0.641 0.250 0.489
Ho 0.859 0.750 0.989
Co 0.034 0.750 0.748
Co 0.211 0.250 0.490
Co 0.289 0.750 0.990
Co 0.466 0.250 0.248
Co 0.534 0.750 0.752
Co 0.711 0.250 0.010
Co 0.789 0.750 0.510
Co 0.966 0.250 0.252
Ge 0.029 0.750 0.136
Ge 0.067 0.250 0.521
Ge 0.180 0.750 0.699
Ge 0.198 0.750 0.288
Ge 0.302 0.250 0.788
Ge 0.320 0.250 0.199
Ge 0.433 0.750 0.021
Ge 0.471 0.250 0.636
Ge 0.529 0.750 0.364
Ge 0.567 0.250 0.979
Ge 0.680 0.750 0.801
Ge 0.698 0.750 0.212
Ge 0.802 0.250 0.712
Ge 0.820 0.250 0.301
Ge 0.933 0.750 0.479
Ge 0.971 0.250 0.864

## Properties
Final energy = -5.755 eV per atom
SG = No. 62
D(E_F) = 0.377 states/eV per atom
Calculated formation energy = -433 meV/atom

---

(5)
Material: HoCo2Ge3
Method: DFT, PBE-GGA
State: relaxed

abc: 8.076 8.076 9.559
angles: 103.67 103.67 28.00
Atoms (fractional coordinates):
Ho 0.000 0.000 0.000
Ho 0.149 0.149 0.696
Ho 0.851 0.851 0.304
Co 0.207 0.207 0.082
Co 0.357 0.357 0.563
Co 0.496 0.496 0.237
Co 0.504 0.504 0.763
Co 0.643 0.643 0.437
Co 0.793 0.793 0.918
Ge 0.053 0.053 0.352
Ge 0.228 0.228 0.375
Ge 0.357 0.357 0.080
Ge 0.360 0.360 0.818
Ge 0.500 0.500 0.500
Ge 0.640 0.640 0.182
Ge 0.643 0.643 0.920
Ge 0.772 0.772 0.625
Ge 0.947 0.947 0.648

## Properties
Final energy = -5.885 eV per atom
SG = No. 12
D(E_F) = 0.436 states/eV per atom
Calculated formation energy = -445 meV/atom
Polymorph energy (0 for the lowest one) = 0 meV per atom

---

(6)
Material: HoCoGe2
Method: DFT, PBE-GGA
State: relaxed

abc: 4.097 4.161 8.544
angles: 90.00 103.68 90.00
Atoms (fractional coordinates):
Ho 0.112 0.250 0.220
Ho 0.888 0.750 0.780
Co 0.319 0.250 0.641
Co 0.681 0.750 0.359
Ge 0.251 0.750 0.502
Ge 0.451 0.250 0.913
Ge 0.549 0.750 0.087
Ge 0.749 0.250 0.498

## Properties
Final energy = -5.858 eV per atom
SG = No. 11
D(E_F) = 0.573 states/eV per atom
Calculated formation energy = -628 meV/atom

---

(7)
Material: Ho2Co3Ge4
Method: DFT, PBE-GGA
State: relaxed

abc: 7.595 6.585 5.321
angles: 78.48 58.17 43.35
Atoms (fractional coordinates):
Ho 0.132 0.132 0.868
Ho 0.868 0.868 0.132
Co 0.000 0.000 0.500
Co 0.500 0.500 0.000
Co 0.500 0.500 0.500
Ge 0.178 0.516 0.484
Ge 0.484 0.822 0.178
Ge 0.516 0.178 0.822
Ge 0.822 0.484 0.516

## Properties
Final energy = -5.937 eV per atom
SG = No. 69
D(E_F) = 0.509 states/eV per atom
Calculated formation energy = -499 meV/atom

---

(8)
Material: Ho2CoGe6
Method: DFT, PBE-GGA
State: relaxed

abc: 4.070 10.919 10.919
angles: 20.90 90.00 90.00
Atoms (fractional coordinates):
Ho 0.000 0.000 0.000
Ho 0.000 0.338 0.338
Co 0.500 0.778 0.778
Ge 0.000 0.606 0.606
Ge 0.000 0.723 0.723
Ge 0.500 0.104 0.104
Ge 0.500 0.222 0.222
Ge 0.500 0.460 0.460
Ge 0.500 0.885 0.885

## Properties
Final energy = -5.359 eV per atom
SG = No. 38
D(E_F) = 0.494 states/eV per atom
Calculated formation energy = -474 meV/atom

---

(9)
Material: Ho3Co7Ge2
Method: DFT, PBE-GGA
State: relaxed

abc: 8.192 8.192 8.192
angles: 36.84 36.84 36.84
Atoms (fractional coordinates):
Ho 0.000 0.000 0.000
Ho 0.141 0.141 0.141
Ho 0.859 0.859 0.859
Co 0.084 0.581 0.581
Co 0.419 0.419 0.916
Co 0.419 0.916 0.419
Co 0.500 0.500 0.500
Co 0.581 0.084 0.581
Co 0.581 0.581 0.084
Co 0.916 0.419 0.419
Ge 0.333 0.333 0.333
Ge 0.667 0.667 0.667

## Properties
Final energy = -6.412 eV per atom
SG = No. 166
D(E_F) = 0.963 states/eV per atom
Calculated formation energy = -352 meV/atom

---

(10)
Material: Ho2CoGe
Method: DFT, PBE-GGA
State: relaxed

abc: 5.758 3.976 7.920
angles: 90.00 111.30 90.00
Atoms (fractional coordinates):
Ho 0.185 0.250 0.408
Ho 0.271 0.750 0.055
Ho 0.729 0.250 0.945
Ho 0.815 0.750 0.592
Co 0.148 0.250 0.784
Co 0.852 0.750 0.216
Ge 0.365 0.750 0.708
Ge 0.635 0.250 0.292

## Properties
Final energy = -5.768 eV per atom
SG = No. 11
D(E_F) = 1.072 states/eV per atom
Calculated formation energy = -548 meV/atom

---

(11)
Material: Ho5Co2Ge
Method: DFT, PBE-GGA
State: relaxed

abc: 8.390 8.390 8.390
angles: 127.42 127.42 77.57
Atoms (fractional coordinates):
Ho 0.000 0.000 0.000
Ho 0.026 0.526 0.830
Ho 0.196 0.026 0.500
Ho 0.304 0.804 0.830
Ho 0.474 0.304 0.500
Ho 0.500 0.500 0.000
Ho 0.526 0.696 0.500
Ho 0.696 0.196 0.170
Ho 0.804 0.974 0.500
Ho 0.974 0.474 0.170
Co 0.126 0.374 0.500
Co 0.374 0.874 0.249
Co 0.626 0.126 0.751
Co 0.874 0.626 0.500
Ge 0.250 0.250 0.000
Ge 0.750 0.750 0.000

## Properties
Final energy = -5.589 eV per atom
SG = No. 140
D(E_F) = 1.230 states/eV per atom
Calculated formation energy = -374 meV/atom

---

(12)
Material: Ho12Co6Ge
Method: DFT, PBE-GGA
State: relaxed

abc: 8.264 8.264 8.264
angles: 109.47 109.47 109.47
Atoms (fractional coordinates):
Ho 0.106 0.806 0.300
Ho 0.194 0.300 0.494
Ho 0.194 0.700 0.894
Ho 0.300 0.106 0.806
Ho 0.300 0.494 0.194
Ho 0.494 0.194 0.300
Ho 0.506 0.806 0.700
Ho 0.700 0.506 0.806
Ho 0.700 0.894 0.194
Ho 0.806 0.300 0.106
Ho 0.806 0.700 0.506
Ho 0.894 0.194 0.700
Co 0.114 0.614 0.500
Co 0.386 0.500 0.886
Co 0.500 0.114 0.614
Co 0.500 0.886 0.386
Co 0.614 0.500 0.114
Co 0.886 0.386 0.500
Ge 0.000 0.000 0.000

## Properties
Final energy = -5.658 eV per atom
SG = No. 204
D(E_F) = 0.476 states/eV per atom
Calculated formation energy = -280 meV/atom

---

(13)
Material: Ho6Co2Ge
Method: DFT, PBE-GGA
State: relaxed

abc: 8.220 8.220 8.220
angles: 111.56 109.71 107.17
Atoms (fractional coordinates):
Ho 0.041 0.239 0.803
Ho 0.180 0.279 0.459
Ho 0.180 0.721 0.901
Ho 0.327 0.013 0.687
Ho 0.327 0.640 0.313
Ho 0.436 0.239 0.197
Ho 0.564 0.761 0.803
Ho 0.673 0.360 0.687
Ho 0.673 0.987 0.313
Ho 0.820 0.279 0.099
Ho 0.820 0.721 0.541
Ho 0.959 0.761 0.197
Co 0.115 0.615 0.500
Co 0.340 0.000 0.340
Co 0.660 0.000 0.660
Co 0.885 0.385 0.500
Ge 0.000 0.000 0.000
Ge 0.500 0.500 0.000

## Properties
Final energy = -5.491 eV per atom
SG = No. 71
D(E_F) = 0.726 states/eV per atom
Calculated formation energy = -347 meV/atom

---

(14)
Material: Ho2Co3Ge5
Method: DFT, PBE-GGA
State: relaxed

abc: 8.107 8.107 8.107
angles: 106.69 87.95 138.46
Atoms (fractional coordinates):
Ho 0.139 0.232 0.371
Ho 0.361 0.732 0.093
Ho 0.639 0.268 0.907
Ho 0.861 0.768 0.629
Co 0.141 0.896 0.037
Co 0.250 0.750 0.500
Co 0.359 0.396 0.755
Co 0.641 0.604 0.245
Co 0.750 0.250 0.500
Co 0.859 0.104 0.963
Ge 0.027 0.750 0.277
Ge 0.092 0.667 0.759
Ge 0.250 0.250 0.000
Ge 0.408 0.167 0.575
Ge 0.473 0.750 0.723
Ge 0.527 0.250 0.277
Ge 0.592 0.833 0.425
Ge 0.750 0.750 0.000
Ge 0.908 0.333 0.241
Ge 0.973 0.250 0.723

## Properties
Final energy = -5.937 eV per atom
SG = No. 72
D(E_F) = 0.643 states/eV per atom
Calculated formation energy = -581 meV/atom
Polymorph energy (0 for the lowest one) = 0 meV per atom

---

(15)
Material: Ho2CoGe
Method: DFT, PBE-GGA
State: relaxed

abc: 3.403 3.403 7.096
angles: 90.00 90.00 90.00
Atoms (fractional coordinates):
Ho 0.000 0.000 0.231
Ho 0.000 0.000 0.769
Co 0.500 0.500 0.000
Ge 0.500 0.500 0.500

## Properties
Final energy = -5.640 eV per atom
SG = No. 123
D(E_F) = 0.512 states/eV per atom
Calculated formation energy = -420 meV/atom

---

(16)
Material: Ho3Co2Ge3
Method: DFT, PBE-GGA
State: relaxed

abc: 5.590 5.590 13.960
angles: 90.00 90.00 136.30
Atoms (fractional coordinates):
Ho 0.082 0.918 0.609
Ho 0.082 0.918 0.891
Ho 0.359 0.641 0.750
Ho 0.641 0.359 0.250
Ho 0.918 0.082 0.109
Ho 0.918 0.082 0.391
Co 0.206 0.794 0.098
Co 0.206 0.794 0.402
Co 0.794 0.206 0.598
Co 0.794 0.206 0.902
Ge 0.338 0.662 0.250
Ge 0.370 0.630 0.539
Ge 0.370 0.630 0.961
Ge 0.630 0.370 0.039
Ge 0.630 0.370 0.461
Ge 0.662 0.338 0.750

## Properties
Final energy = -5.954 eV per atom
SG = No. 63
D(E_F) = 0.673 states/eV per atom
Calculated formation energy = -730 meV/atom
Polymorph energy (0 for the lowest one) = 0 meV per atom

---

(17)
Material: HoCo4Ge12
Method: DFT, PBE-GGA
State: relaxed

abc: 7.250 7.250 7.250
angles: 109.47 109.47 109.47
Atoms (fractional coordinates):
Ho 0.000 0.000 0.000
Co 0.000 0.000 0.500
Co 0.000 0.500 0.000
Co 0.500 0.000 0.000
Co 0.500 0.500 0.500
Ge 0.164 0.505 0.341
Ge 0.164 0.822 0.659
Ge 0.178 0.341 0.836
Ge 0.341 0.164 0.505
Ge 0.341 0.836 0.178
Ge 0.495 0.659 0.836
Ge 0.505 0.341 0.164
Ge 0.659 0.164 0.822
Ge 0.659 0.836 0.495
Ge 0.822 0.659 0.164
Ge 0.836 0.178 0.341
Ge 0.836 0.495 0.659

## Properties
Final energy = -5.307 eV per atom
SG = No. 204
D(E_F) = 0.827 states/eV per atom
Calculated formation energy = -107 meV/atom

---

(18)
Material: Ho3CoGe2
Method: DFT, PBE-GGA
State: relaxed

abc: 11.479 4.116 11.089
angles: 90.00 90.00 90.00
Atoms (fractional coordinates):
Ho 0.055 0.250 0.130
Ho 0.121 0.750 0.555
Ho 0.225 0.250 0.797
Ho 0.275 0.750 0.297
Ho 0.379 0.250 0.055
Ho 0.445 0.750 0.630
Ho 0.555 0.250 0.370
Ho 0.621 0.750 0.945
Ho 0.725 0.250 0.703
Ho 0.775 0.750 0.203
Ho 0.879 0.250 0.445
Ho 0.945 0.750 0.870
Co 0.131 0.250 0.368
Co 0.369 0.750 0.868
Co 0.631 0.250 0.132
Co 0.869 0.750 0.632
Ge 0.016 0.750 0.315
Ge 0.192 0.750 0.996
Ge 0.308 0.250 0.496
Ge 0.484 0.250 0.815
Ge 0.516 0.750 0.185
Ge 0.692 0.750 0.504
Ge 0.808 0.250 0.004
Ge 0.984 0.250 0.685

## Properties
Final energy = -5.742 eV per atom
SG = No. 62
D(E_F) = 0.627 states/eV per atom
Calculated formation energy = -730 meV/atom

---

(19)
Material: HoCo4Ge
Method: DFT, PBE-GGA
State: relaxed

abc: 4.898 4.898 4.898
angles: 60.00 60.00 60.00
Atoms (fractional coordinates):
Ho 0.000 0.000 0.000
Co 0.127 0.624 0.624
Co 0.624 0.127 0.624
Co 0.624 0.624 0.127
Co 0.624 0.624 0.624
Ge 0.250 0.250 0.250

## Properties
Final energy = -6.384 eV per atom
SG = No. 216
D(E_F) = 1.593 states/eV per atom
Calculated formation energy = -114 meV/atom